12
Lattice="6.6454 0.8270 0.0000 0.4159 6.6837 0.0000 -3.5306 -3.7553 8.8113" Properties=species:S:1:pos:R:3 comment="Ba2Hg3Au, relaxed, DFT PBE-GGA" delta_e_f_ev_per_atom=-0.55 sg="Fmmm, No. 69" crystal_system=orthorhombic dft_energy_ev_per_cell=-22.71 pbc="T T T"
Ba 3.3227 0.4135 4.4057
Ba 5.0672 2.3107 0.0000
Ba 0.2079 3.3418 4.4057
Ba 1.9940 5.2000 0.0000
Hg 5.2714 5.6069 1.4974
Hg 1.7407 1.8515 7.3140
Hg -1.7407 -1.8515 7.3140
Hg 1.7899 1.9038 1.4974
Hg 0.0000 0.0000 2.9909
Hg 3.5306 3.7553 5.8205
Au 3.5306 3.7553 2.9170
Au 0.0000 0.0000 5.8943